An optimized crystal structure of Dy4YZn, computed with PBE-GGA.

total magnetic moment	0.0	μB per formula unit
E_form	-0.590	eV/f.u.
Fermi-level density of states	7.57	states/eV per cell

Cell lengths 3.5533, 3.5533, 13.6839 Å; angles 90.00, 90.00, 90.00 degrees
Fractional coordinates of all 6 atoms:
Dy 0.0000 0.0000 0.1301
Dy 0.0000 0.0000 0.8699
Dy 0.5000 0.5000 0.3156
Dy 0.5000 0.5000 0.6844
Y 0.0000 0.0000 0.5000
Zn 0.5000 0.5000 0.0000